Record 1
# LiLaNF2

Crystalline LiLaNF2 at its relaxed geometry (PBE, the Alexandria database).

Cell: 4.7467 4.7467 4.3576 Å, 90.00 90.00 90.00°
Last column: nearest neighbours and their distance in Å.
Fractional coordinates of all 5 atoms:
1 F 0.0000 0.5000 0.0000  2 La 2.37
2 F 0.5000 0.0000 0.0000  2 La 2.37
3 N 0.0000 0.0000 0.5000  2 La 2.18
4 La 0.0000 0.0000 0.0000  2 N 2.18, 4 F 2.37
5 Li 0.5000 0.5000 0.5000  8 F 3.22, 4 N 3.36

Density of states at the Fermi level ... 0.0907 states/eV per atom
Energy ... -5.7226 eV/atom
Energy above the most stable polymorph in this dataset ... 267 meV per atom
Magnetic moment ... 0.000 μB/atom

***

Record 2
# ZnPbW2

Crystalline ZnPbW2 at its relaxed geometry (PBE, the Alexandria database).

Cell: 4.9406 4.9406 5.3884 Å, 83.96 83.96 34.02°
Last column: nearest neighbours and their distance in Å.
Fractional coordinates of all 4 atoms:
1 Zn 0.4929 0.4929 0.5220  5 W 2.78-2.91, 3 Pb 2.83-3.04, 2 Zn 2.89
2 W 0.0017 0.0017 0.9617  5 W 2.68-2.91, 2 Zn 2.78, 1 Pb 2.98
3 W 0.7555 0.7555 0.7565  5 W 2.68-2.91, 3 Zn 2.84-2.91
4 Pb 0.2498 0.2498 0.2598  3 Zn 2.83-3.04, 2 Pb 2.89, 7 W 2.98-3.08

Density of states at the Fermi level ... 0.6920 states/eV per atom
Energy ... -6.8872 eV/atom
Energy relative to the elements ... 3.3 eV/f.u.
Energy above the most stable polymorph in this dataset ... 327 meV per atom
Magnetic moment ... 0.000 μB/atom

***

Record 3
# SrZrCo2

Crystalline SrZrCo2 at its relaxed geometry (PBE, the Alexandria database).

Cell: 7.1875 7.1875 5.9912 Å, 53.14 53.14 90.00°
Last column: nearest neighbours and their distance in Å.
Fractional coordinates of all 8 atoms:
1 Zr 0.0000 0.0000 0.0000  4 Co 2.47
2 Zr 0.7500 0.2500 0.5000  4 Co 2.47
3 Co 0.0840 0.6250 0.2500  2 Zr 2.47
4 Co 0.8750 0.9160 0.7500  2 Zr 2.47
5 Co 0.3750 0.3340 0.7500  2 Zr 2.47
6 Co 0.6660 0.1250 0.2500  2 Zr 2.47
7 Sr 0.2500 0.7500 0.5000  4 Co 2.87, 2 Zr 3.17
8 Sr 0.5000 0.5000 0.0000  4 Co 2.87, 2 Zr 3.17

Density of states at the Fermi level ... 0.4542 states/eV per atom
Energy ... -5.5270 eV/atom
Energy relative to the elements ... 2.3 eV/f.u.
Energy above the most stable polymorph in this dataset ... 520 meV per atom
Magnetic moment ... 0.000 μB/atom

***

Record 4
# Rb2NpF5

Crystalline Rb2NpF5 at its relaxed geometry (PBE, the Alexandria database).

Cell: 7.1813 7.1750 8.9283 Å, 125.74 125.56 82.06°
Last column: nearest neighbours and their distance in Å.
Fractional coordinates of all 8 atoms:
1 F 0.6801 0.6810 0.5846  1 Np 2.23
2 F 0.9210 0.3122 0.1821  1 Np 2.21
3 F 0.8479 0.8474 0.0899  1 Np 2.24
4 F 0.1792 0.1790 0.9767  1 Np 2.24
5 F 0.3111 0.9192 0.1799  1 Np 2.21
6 Np 0.9676 0.9673 0.9692  5 F 2.21-2.24
7 Rb 0.6632 0.2060 0.2850  5 F 2.81-2.85
8 Rb 0.2069 0.6649 0.2865  5 F 2.81-2.85

Density of states at the Fermi level ... 0.3876 states/eV per atom
Energy ... -6.0417 eV/atom
Energy above the most stable polymorph in this dataset ... 102 meV per atom
Magnetic moment ... 0.500 μB/atom

***

Record 5
# TeRhSe2

Crystalline TeRhSe2 at its relaxed geometry (PBE, the Alexandria database).

Cell: 3.9530 6.8279 5.5503 Å, 35.46 90.00 90.00°
Last column: nearest neighbours and their distance in Å.
Fractional coordinates of all 4 atoms:
1 Se 0.5000 0.5000 0.0000  2 Te 2.78, 4 Rh 2.80
2 Se 0.0000 0.0000 0.0000  2 Rh 2.78, 4 Te 2.80
3 Rh 0.0000 0.0000 0.5000  6 Se 2.78-2.80
4 Te 0.5000 0.5000 0.5000  6 Se 2.78-2.80

Density of states at the Fermi level ... 0.9135 states/eV per atom
Energy ... -4.1877 eV/atom
Magnetic moment ... 0.000 μB/atom

***

Record 6
# Pa2AsRu

Crystalline Pa2AsRu at its relaxed geometry (PBE, the Alexandria database).

Cell: 3.9104 3.9104 7.3995 Å, 74.68 74.68 60.00°
Last column: nearest neighbours and their distance in Å.
Fractional coordinates of all 4 atoms:
1 Ru 0.0000 0.0000 0.0000  6 Pa 2.78
2 Pa 0.2570 0.2570 0.2291  3 Ru 2.78, 3 As 2.96
3 Pa 0.7430 0.7430 0.7709  3 Ru 2.78, 3 As 2.96
4 As 0.5000 0.5000 0.5000  6 Pa 2.96

Density of states at the Fermi level ... 1.4213 states/eV per atom
Energy ... -8.9171 eV/atom
Energy relative to the elements ... -2.8 eV/f.u.
Energy above the most stable polymorph in this dataset ... 24 meV per atom
Magnetic moment ... 0.000 μB/atom

***

Record 7
# Dy2YTh6

Crystalline Dy2YTh6 at its relaxed geometry (PBE, the Alexandria database).

Cell: 3.5429 3.5429 26.9064 Å, 90.00 90.00 120.00°
Last column: nearest neighbours and their distance in Å.
Fractional coordinates of all 9 atoms:
1 Th 0.6667 0.3333 0.5618  7 Th 3.33-3.54, 3 Dy 3.57
2 Th 0.6667 0.3333 0.2194  9 Th 3.54-3.57, 3 Dy 3.60
3 Th 0.3333 0.6667 0.8895  9 Th 3.54-3.57, 3 Y 3.61
4 Th 0.3333 0.6667 0.1105  9 Th 3.54-3.57, 3 Y 3.61
5 Th 0.6667 0.3333 0.4382  7 Th 3.33-3.54, 3 Dy 3.57
6 Th 0.6667 0.3333 0.7806  9 Th 3.54-3.57, 3 Dy 3.60
7 Dy 0.3333 0.6667 0.3295  6 Dy 3.54, 6 Th 3.57-3.60
8 Dy 0.3333 0.6667 0.6705  6 Dy 3.54, 6 Th 3.57-3.60
9 Y 0.6667 0.3333 0.0000  6 Y 3.54, 6 Th 3.61

Density of states at the Fermi level ... 1.6557 states/eV per atom
Energy ... -6.6028 eV/atom
Energy relative to the elements ... 0.8 eV/f.u.
Magnetic moment ... 0.000 μB/atom

***

Record 8
# SrTcPd2

Crystalline SrTcPd2 at its relaxed geometry (PBE, the Alexandria database).

Cell: 4.8374 4.8374 4.8374 Å, 60.00 60.00 60.00°
Last column: nearest neighbours and their distance in Å.
Fractional coordinates of all 4 atoms:
1 Pd 0.7500 0.7500 0.7500  4 Sr 2.96, 4 Tc 2.96
2 Pd 0.2500 0.2500 0.2500  4 Tc 2.96, 4 Sr 2.96
3 Sr 0.0000 0.0000 0.0000  8 Pd 2.96
4 Tc 0.5000 0.5000 0.5000  8 Pd 2.96

Density of states at the Fermi level ... 1.0008 states/eV per atom
Energy ... -5.3334 eV/atom
Energy relative to the elements ... 1.1 eV/f.u.
Energy above the most stable polymorph in this dataset ... 0 meV per atom
Magnetic moment ... 0.753 μB/atom

***

Record 9
# NpScSe

Crystalline NpScSe at its relaxed geometry (PBE, the Alexandria database).

Cell: 3.7106 3.6720 16.4586 Å, 90.00 90.00 90.00°
Last column: nearest neighbours and their distance in Å.
Fractional coordinates of all 12 atoms:
1 Np 0.2652 0.2500 0.0000  4 Np 2.53-2.69
2 Np 0.7652 0.7500 0.5000  4 Np 2.53-2.69
3 Np 0.2348 0.2500 0.5000  4 Np 2.53-2.69
4 Np 0.7348 0.7500 0.0000  4 Np 2.53-2.69
5 Se 0.2467 0.7500 0.8548  5 Sc 2.69-2.78, 1 Np 3.00
6 Se 0.2533 0.7500 0.3548  5 Sc 2.69-2.78, 1 Np 3.00
7 Se 0.7533 0.2500 0.1452  5 Sc 2.69-2.78, 1 Np 3.00
8 Se 0.7467 0.2500 0.6452  5 Sc 2.69-2.78, 1 Np 3.00
9 Sc 0.7477 0.2500 0.8142  5 Se 2.69-2.78
10 Sc 0.2477 0.7500 0.6858  5 Se 2.69-2.78
11 Sc 0.2523 0.7500 0.1858  5 Se 2.69-2.78
12 Sc 0.7523 0.2500 0.3142  5 Se 2.69-2.78

Density of states at the Fermi level ... 1.5917 states/eV per atom
Energy ... -8.3875 eV/atom
Magnetic moment ... 0.000 μB/atom

***

Record 10
# ScSn2Cl

Crystalline ScSn2Cl at its relaxed geometry (PBE, the Alexandria database).

Cell: 9.9673 9.9673 7.4574 Å, 48.07 48.07 90.00°
Last column: nearest neighbours and their distance in Å.
Fractional coordinates of all 8 atoms:
1 Sn 0.8750 0.9538 0.7500  2 Sn 2.90, 2 Sc 3.08
2 Sn 0.3750 0.2962 0.7500  2 Sn 2.90, 2 Sc 3.08
3 Sn 0.0462 0.6250 0.2500  2 Sn 2.90, 2 Sc 3.08
4 Sn 0.7038 0.1250 0.2500  2 Sn 2.90, 2 Sc 3.08
5 Sc 0.7500 0.2500 0.5000  2 Cl 2.44
6 Sc 0.0000 0.0000 0.0000  2 Cl 2.44
7 Cl 0.2500 0.7500 0.5000  2 Sc 2.44
8 Cl 0.5000 0.5000 0.0000  2 Sc 2.44

Density of states at the Fermi level ... 0.9312 states/eV per atom
Energy ... -4.4750 eV/atom
Energy above the most stable polymorph in this dataset ... 0 meV per atom
Magnetic moment ... 0.000 μB/atom

***

Record 11
# Ac2PmSm3

Crystalline Ac2PmSm3 at its relaxed geometry (PBE, the Alexandria database).

Cell: 6.0654 10.7249 13.0710 Å, 34.12 76.58 73.57°
Last column: nearest neighbours and their distance in Å.
Fractional coordinates of all 12 atoms:
1 Ac 0.6458 0.1667 0.5417  2 Sm 3.23-3.61, 1 Pm 3.44
2 Ac 0.1587 0.4396 0.2429  7 Sm 3.60-4.01, 2 Ac 3.75
3 Ac 0.3542 0.8333 0.4583  2 Sm 3.23-3.61, 1 Pm 3.44
4 Ac 0.8413 0.5604 0.7571  7 Sm 3.60-4.01, 2 Ac 3.75
5 Sm 0.6441 0.7299 0.9820  3 Ac 3.23-3.60, 1 Pm 3.28, 1 Sm 3.39
6 Sm 0.3559 0.2701 0.0180  3 Ac 3.23-3.60, 1 Pm 3.28, 1 Sm 3.39
7 Sm 0.7825 0.1971 0.2380  4 Sm 3.36-3.76, 4 Ac 3.61-3.74
8 Sm 0.9458 0.8858 0.2226  2 Pm 3.36, 1 Sm 3.36
9 Sm 0.2175 0.8029 0.7620  4 Sm 3.36-3.76, 4 Ac 3.61-3.74
10 Sm 0.0542 0.1142 0.7774  2 Pm 3.36, 1 Sm 3.36
11 Pm 0.5157 0.7272 0.2414  4 Sm 3.28-3.65, 1 Ac 3.44, 1 Pm 3.59
12 Pm 0.4843 0.2728 0.7586  4 Sm 3.28-3.65, 1 Ac 3.44, 1 Pm 3.59

Density of states at the Fermi level ... 1.4708 states/eV per atom
Energy ... -4.3316 eV/atom
Energy relative to the elements ... 1.1 eV/f.u.
Magnetic moment ... 0.000 μB/atom

***

Record 12
# PmHfCo10

Crystalline PmHfCo10 at its relaxed geometry (PBE, the Alexandria database).

Cell: 3.9657 4.8442 8.4442 Å, 90.00 90.00 90.00°
Last column: nearest neighbours and their distance in Å.
Fractional coordinates of all 12 atoms:
1 Co 0.0000 0.5000 0.1844  6 Co 2.39-2.52, 1 Hf 2.67
2 Co 0.5000 0.7438 0.7403  8 Co 2.36-2.49
3 Co 0.5000 0.5000 0.0000  8 Co 2.49-2.52
4 Co 0.5000 0.7438 0.2597  8 Co 2.36-2.49
5 Co 0.5000 0.0000 0.5000  8 Co 2.38
6 Co 0.5000 0.2562 0.2597  8 Co 2.36-2.49
7 Co 0.0000 0.0000 0.6550  7 Co 2.38-2.62
8 Co 0.0000 0.0000 0.3450  7 Co 2.38-2.62
9 Co 0.5000 0.2562 0.7403  8 Co 2.36-2.49
10 Co 0.0000 0.5000 0.8156  6 Co 2.39-2.52, 1 Hf 2.67
11 Hf 0.0000 0.5000 0.5000  6 Co 2.67-2.75
12 Pm 0.0000 0.0000 0.0000  18 Co 2.88-3.21

Density of states at the Fermi level ... 1.4378 states/eV per atom
Energy ... -7.2351 eV/atom
Energy relative to the elements ... -1.1 eV/f.u.
Magnetic moment ... 1.127 μB/atom